#w
DFT (GGA-PBE) results for a relaxed TaRu3Rh crystal.

Density of states at the Fermi level ... 6.7 states/eV/f.u.
Crystal system ... cubic
Symmetry ... Pm-3m
Spin magnetization ... 3.6 μB per formula unit

Cell: 4.657 4.657 4.657 Å, 90.00 90.00 90.00°
Site moments in Bohr magnetons follow the coordinates.
Atoms (fractional coordinates):
Ru (0.000, 0.500, 0.000)  1.04
Ru (0.000, 0.000, 0.500)  0.95
Ru (0.500, 0.000, 0.000)  0.88
Rh (0.500, 0.500, 0.500)  0.87
Ta (0.000, 0.000, 0.000)  -0.16

#x
DFT (GGA-PBE) results for a relaxed TaRu3Rh crystal.

Density of states at the Fermi level ... 8.3 states/eV/f.u.
Crystal system ... trigonal
Symmetry ... R-3m
Spin magnetization ... 2.2 μB per formula unit

Cell: 5.271 5.271 5.138 Å, 59.14 59.14 60.00°
Site moments in Bohr magnetons follow the coordinates.
Atoms (fractional coordinates):
Ta (0.475, 0.475, 0.575)  -0.14
Ru (0.475, 0.975, 0.575)  0.57
Ru (0.975, 0.475, 0.575)  0.57
Ru (0.975, 0.975, 0.575)  0.57
Rh (0.975, 0.975, 0.075)  0.52

#y
DFT (GGA-PBE) results for a relaxed TaRu3Rh crystal.

Density of states at the Fermi level ... 10.5 states/eV/f.u.
Crystal system ... cubic
Symmetry ... Pm-3m
Spin magnetization ... 0.6 μB per formula unit

Cell: 4.579 4.579 4.579 Å, 90.00 90.00 90.00°
Site moments in Bohr magnetons follow the coordinates.
Atoms (fractional coordinates):
Ru (0.000, 0.500, 0.000)  0.21
Ru (0.000, 0.000, 0.500)  0.25
Ru (0.500, 0.000, 0.000)  0.16
Rh (0.000, 0.000, 0.000)  0.05
Ta (0.500, 0.500, 0.500)  -0.05

Q: Which of them is the most stable? A: #x.

#w
DFT (GGA-PBE) results for a relaxed Tb4RuRh crystal.

Density of states at the Fermi level ... 4.9 states/eV/f.u.
Crystal system ... monoclinic
Symmetry ... C2/c
Spin magnetization ... 0.0 μB per formula unit

Cell: 6.329 7.473 7.913 Å, 113.94 108.75 99.56°
Atoms (fractional coordinates):
Tb (0.005, 0.238, 0.870)
Tb (0.794, 0.693, 0.648)
Tb (0.366, 0.632, 0.870)
Tb (0.354, 0.955, 0.648)
Tb (0.646, 0.045, 0.352)
Tb (0.634, 0.368, 0.130)
Tb (0.206, 0.307, 0.352)
Tb (0.995, 0.762, 0.130)
Ru (0.251, 0.001, 0.003)
Ru (0.749, 0.999, 0.997)
Rh (0.386, 0.636, 0.272)
Rh (0.614, 0.364, 0.728)

#x
DFT (GGA-PBE) results for a relaxed Tb4RuRh crystal.

Density of states at the Fermi level ... 3.3 states/eV/f.u.
Crystal system ... monoclinic
Symmetry ... P2_1/c
Spin magnetization ... 0.0 μB per formula unit

Cell: 6.837 6.836 6.831 Å, 90.00 89.24 90.00°
Atoms (fractional coordinates):
Tb (0.833, 0.664, 0.161)
Tb (0.667, 0.164, 0.839)
Tb (0.340, 0.337, 0.334)
Tb (0.160, 0.837, 0.666)
Tb (0.167, 0.336, 0.839)
Tb (0.333, 0.836, 0.161)
Tb (0.660, 0.663, 0.666)
Tb (0.840, 0.163, 0.334)
Ru (0.000, 0.000, 0.000)
Ru (0.500, 0.500, 0.000)
Rh (0.500, 0.000, 0.500)
Rh (0.000, 0.500, 0.500)

Q: Which of them is the most stable? A: #w.